(1)
The following is a GGA-PBE calculation of a geometry-optimized PuS3 structure, from the Alexandria database.

As for the total magnetization: 1.084 μB/atom. For the uncorrected formation energy, the calculation gives -723 meV/atom. As for the symmetry: I4/mmm. Its density of states at the Fermi level is 1.6873 states/eV per atom.

abc: 5.5286 5.5286 5.5286
angles: 138.90 138.90 59.53
With the nearest neighbours (Å) after each atom.
Atoms (fractional coordinates):
Pu: 0.0000 0.0000 0.0000  4 S 2.74
S: 0.2500 0.7500 0.5000  4 S 2.74
S: 0.5000 0.5000 0.0000  4 Pu 2.74
S: 0.7500 0.2500 0.5000  4 S 2.74



(2)
The following is a GGA-PBE calculation of a geometry-optimized V2ZnFe structure, from the Alexandria database.

As for the total magnetization: 0.172 μB/atom. For the energy of formation from the pure elements, the calculation gives 0.0308 eV per atom. As for the symmetry: P4/mmm. Its density of states at the Fermi level is 0.9160 states/eV per atom.

abc: 3.6352 3.6352 3.8375
angles: 90.00 90.00 90.00
With the nearest neighbours (Å) after each atom.
Atoms (fractional coordinates):
V: 0.0000 0.5000 0.0000  4 V 2.57, 4 Fe 2.64, 4 Zn 2.64
V: 0.5000 0.0000 0.0000  4 V 2.57, 4 Fe 2.64, 4 Zn 2.64
Zn: 0.0000 0.0000 0.5000  4 Fe 2.57, 8 V 2.64
Fe: 0.5000 0.5000 0.5000  4 Zn 2.57, 8 V 2.64



(3)
The following is a GGA-PBE calculation of a geometry-optimized NaMgMnBr2 structure, from the Alexandria database.

As for the total magnetization: 0.845 μB/atom. For the uncorrected formation energy, the calculation gives -163 meV/atom. As for the symmetry: P4/mmm. Its density of states at the Fermi level is 0.5597 states/eV per atom.

abc: 5.3787 5.3787 5.5890
angles: 90.00 90.00 90.00
With the nearest neighbours (Å) after each atom.
Atoms (fractional coordinates):
Na: 0.0000 0.0000 0.0000  4 Mn 3.80, 8 Br 3.88
Mg: 0.5000 0.5000 0.5000  4 Br 2.69, 2 Mn 2.79
Mn: 0.5000 0.5000 0.0000  2 Mg 2.79
Br: 0.0000 0.5000 0.5000  2 Mg 2.69
Br: 0.5000 0.0000 0.5000  2 Mg 2.69



(4)
The following is a GGA-PBE calculation of a geometry-optimized BaSr3Au3 structure, from the Alexandria database.

As for the total magnetization: 0.000 μB/atom. For the energy of formation from the pure elements, the calculation gives -0.3647 eV per atom. The calculation puts the energy above the most stable polymorph in this dataset at 0.259 eV/atom. As for the symmetry: Pm-3n. Its density of states at the Fermi level is 0.6586 states/eV per atom.

abc: 8.5800 8.5800 8.5800
angles: 90.00 90.00 90.00
With the nearest neighbours (Å) after each atom.
Atoms (fractional coordinates):
Ba: 0.0000 0.0000 0.0000  12 Sr 4.80, 12 Au 4.80
Ba: 0.5000 0.5000 0.5000  12 Sr 4.80, 12 Au 4.80
Sr: 0.0000 0.2500 0.5000  4 Au 3.03
Sr: 0.0000 0.7500 0.5000  4 Au 3.03
Sr: 0.2500 0.5000 0.0000  4 Au 3.03
Sr: 0.5000 0.0000 0.2500  4 Au 3.03
Sr: 0.5000 0.0000 0.7500  4 Au 3.03
Sr: 0.7500 0.5000 0.0000  4 Au 3.03
Au: 0.0000 0.5000 0.2500  4 Sr 3.03
Au: 0.0000 0.5000 0.7500  4 Sr 3.03
Au: 0.2500 0.0000 0.5000  4 Sr 3.03
Au: 0.5000 0.2500 0.0000  4 Sr 3.03
Au: 0.5000 0.7500 0.0000  4 Sr 3.03
Au: 0.7500 0.0000 0.5000  4 Sr 3.03



(5)
The following is a GGA-PBE calculation of a geometry-optimized MgReSb2Ru structure, from the Alexandria database.

As for the total magnetization: 0.596 μB/atom. For the uncorrected formation energy, the calculation gives 1115 meV/atom. As for the symmetry: P4/mmm. Its density of states at the Fermi level is 0.7610 states/eV per atom.

abc: 5.0092 5.0092 4.7884
angles: 90.00 90.00 90.00
With the nearest neighbours (Å) after each atom.
Atoms (fractional coordinates):
Mg: 0.0000 0.0000 0.0000  2 Ru 2.39
Re: 0.5000 0.5000 0.0000  8 Sb 3.46, 4 Mg 3.54
Sb: 0.0000 0.5000 0.5000  2 Ru 2.50
Sb: 0.5000 0.0000 0.5000  2 Ru 2.50
Ru: 0.0000 0.0000 0.5000  2 Mg 2.39, 4 Sb 2.50



(6)
The following is a GGA-PBE calculation of a geometry-optimized Zr2ScCo structure, from the Alexandria database.

As for the total magnetization: 0.004 μB/atom. For the energy of formation from the pure elements, the calculation gives 0.1233 eV per atom. The calculation puts the energy above the most stable polymorph in this dataset at 0.319 eV/atom. As for the symmetry: I4/mmm. Its density of states at the Fermi level is 1.2897 states/eV per atom.

abc: 5.6676 5.6676 5.6676
angles: 139.02 139.02 59.35
With the nearest neighbours (Å) after each atom.
Atoms (fractional coordinates):
Zr: 0.2500 0.7500 0.5000  4 Zr 2.81
Zr: 0.7500 0.2500 0.5000  4 Zr 2.81
Sc: 0.0000 0.0000 0.0000  4 Co 2.81
Co: 0.5000 0.5000 0.0000  4 Sc 2.81